Record 1
The following is a PBE calculation of an optimized crystal structure of CaCd2SnAu4, from Alexandria.

Cell and atoms, written as POSCAR:
```
CaCd2SnAu4
1.0
4.843 0.000 0.000
2.422 4.194 0.000
2.422 1.398 8.453
Ca Cd Sn Au
1 2 1 4
Cartesian
0.000 0.000 0.000 Ca
7.265 4.194 6.488 Cd
2.422 1.398 1.965 Cd
4.843 2.796 4.227 Sn
4.843 2.796 7.205 Au
7.265 4.194 3.097 Au
2.422 1.398 5.356 Au
4.843 2.796 1.248 Au
```

Values from the calculation:
Space-group type: R-3m
Formation energy from the elements, meV per atom: -331



Record 2
The following is a PBE calculation of an optimized crystal structure of Sr2CaCd12Au3, from Alexandria.

Cell and atoms, written as POSCAR:
```
Sr2CaCd12Au3
1.0
8.620 -0.688 -0.488
3.659 7.836 -0.488
3.659 2.130 7.556
Sr Ca Cd Au
2 1 12 3
Cartesian
9.447 5.499 3.900 Sr
6.491 3.779 2.680 Sr
0.000 0.000 0.000 Ca
6.624 3.856 6.007 Cd
11.811 6.875 2.153 Cd
9.577 8.144 5.777 Cd
9.309 2.331 1.653 Cd
11.811 4.305 5.777 Cd
6.624 6.944 1.653 Cd
9.314 5.422 0.574 Cd
4.127 2.402 4.427 Cd
6.362 1.133 0.804 Cd
6.629 6.947 4.927 Cd
4.127 4.972 0.804 Cd
9.314 2.334 4.927 Cd
4.310 -0.344 -0.244 Au
1.830 3.918 -0.244 Au
1.830 1.065 3.778 Au
```

Values from the calculation:
Space-group type: R-3m
Formation energy from the elements, meV per atom: -21



Record 3
The following is a PBE calculation of an optimized crystal structure of Sr2CaCdAu, from Alexandria.

Cell and atoms, written as POSCAR:
```
Sr2CaCdAu
1.0
-0.728 -5.490 -2.368
-1.218 -2.199 5.473
-5.559 1.083 -0.801
Sr Ca Au Cd
2 1 1 1
Cartesian
-0.609 -1.100 2.737 Sr
-0.364 -2.745 -1.184 Sr
-2.779 0.542 -0.401 Ca
0.000 0.000 0.000 Au
-3.752 -3.303 1.152 Cd
```

Values from the calculation:
Space-group type: P4/mmm
Formation energy from the elements, meV per atom: -309



Record 4
The following is a PBE calculation of an optimized crystal structure of Sr2CaCdAu6, from Alexandria.

Cell and atoms, written as POSCAR:
```
Sr2CaCdAu6
1.0
-7.092 2.717 -0.275
-2.287 -5.492 4.730
-3.635 1.792 6.429
Sr Ca Cd Au
2 1 1 6
Cartesian
-5.306 -2.543 6.693 Sr
-7.709 1.561 4.190 Sr
-4.690 -1.387 2.227 Ca
0.000 0.000 0.000 Cd
-3.468 -3.475 3.500 Au
-10.710 -0.301 9.789 Au
-4.153 0.230 4.364 Au
-5.912 0.700 0.954 Au
-2.305 -0.682 1.094 Au
-8.861 -1.212 6.519 Au
```

Values from the calculation:
Space-group type: Fm-3m
Formation energy from the elements, meV per atom: -176



Record 5
The following is a PBE calculation of an optimized crystal structure of CaTbCdAu, from Alexandria.

Cell and atoms, written as POSCAR:
```
CaTbCdAu
1.0
5.218 0.000 0.000
2.609 4.519 0.000
2.609 1.506 4.260
Tb Ca Au Cd
1 1 1 1
Cartesian
5.218 3.012 2.130 Tb
0.000 0.000 0.000 Ca
2.609 1.506 1.065 Au
7.827 4.519 3.195 Cd
```

Values from the calculation:
Space-group type: F-43m
Formation energy from the elements, meV per atom: -550



Record 6
The following is a PBE calculation of an optimized crystal structure of CaTbCdAu, from Alexandria.

Cell and atoms, written as POSCAR:
```
CaTbCdAu
1.0
-1.083 0.200 -3.508
-2.757 -2.325 0.719
-4.495 5.862 1.722
Ca Tb Cd Au
1 1 1 1
Cartesian
-1.668 2.175 0.639 Ca
-3.749 4.889 1.436 Tb
-2.353 -0.499 -1.229 Cd
-4.736 2.609 -0.316 Au
```

Values from the calculation:
Space-group type: P4mm
Formation energy from the elements, meV per atom: -586



Record 7
The following is a PBE calculation of an optimized crystal structure of CaThCdAu, from Alexandria.

Cell and atoms, written as POSCAR:
```
CaThCdAu
1.0
5.306 0.000 0.000
2.653 4.595 0.000
2.653 1.532 4.332
Ca Au Th Cd
1 1 1 1
Cartesian
0.000 0.000 0.000 Ca
7.958 4.595 3.249 Au
5.306 3.063 2.166 Th
2.653 1.532 1.083 Cd
```

Values from the calculation:
Space-group type: F-43m
Formation energy from the elements, meV per atom: -397



Record 8
The following is a PBE calculation of an optimized crystal structure of Ca2TlCdAu, from Alexandria.

Cell and atoms, written as POSCAR:
```
Ca2TlCdAu
1.0
4.779 0.000 0.000
0.000 8.043 0.347
0.000 -2.929 6.940
Ca Tl Cd Au
4 2 2 2
Cartesian
3.584 5.200 4.803 Ca
3.584 5.565 0.522 Ca
1.195 -0.086 2.483 Ca
1.195 -0.450 6.765 Ca
1.195 4.614 2.560 Tl
3.584 0.500 4.727 Tl
1.195 2.425 4.806 Cd
3.584 2.690 2.481 Cd
1.195 4.514 6.720 Au
3.584 0.601 0.567 Au
```

Values from the calculation:
Space-group type: P2_1/m
Formation energy from the elements, meV per atom: -511



Number 1: energy -2.949 eV/atom. Number 2: energy -1.475 eV/atom. Number 3: energy -2.220 eV/atom. Number 4: energy -2.770 eV/atom. Number 5: energy -3.256 eV/atom. Number 6: energy -3.292 eV/atom. Number 7: energy -3.801 eV/atom. Number 8: energy -2.623 eV/atom.